Entry from Alexandria: a geometry-optimized MnV4Tc5 structure (GGA-PBE).

* N(E_F): 0.735 states/eV per atom
* crystal system: tetragonal
* VASP energy: -100.126 eV/cell
* calculated formation energy: -2.7 eV/f.u.
* space group: No. 123

Geometry as CIF:
```
data_MnV4Tc5
_symmetry_space_group_name_H-M 'P 1'
_symmetry_Int_Tables_number 1
_symmetry_space_group_name_Hall 'P 1'
_cell_length_a 3.0291
_cell_length_b 3.0291
_cell_length_c 15.0291
_cell_angle_alpha 90.00
_cell_angle_beta 90.00
_cell_angle_gamma 90.00
loop_
_atom_site_label
_atom_site_fract_x
_atom_site_fract_y
_atom_site_fract_z
V1 0.0000 0.0000 0.3994
V2 0.0000 0.0000 0.1983
V3 0.0000 0.0000 0.6006
V4 0.0000 0.0000 0.8017
Tc1 0.5000 0.5000 0.7009
Tc2 0.5000 0.5000 0.1003
Tc3 0.5000 0.5000 0.8997
Tc4 0.5000 0.5000 0.2991
Tc5 0.5000 0.5000 0.5000
Mn1 0.0000 0.0000 0.0000
```



Entry from Alexandria: a geometry-optimized MnV3Tc structure (GGA-PBE).

* N(E_F): 1.349 states/eV per atom
* crystal system: cubic
* VASP energy: -41.023 eV/cell
* calculated formation energy: 5.9 eV/f.u.
* space group: No. 221

Geometry as CIF:
```
data_MnV3Tc
_symmetry_space_group_name_H-M 'P 1'
_symmetry_Int_Tables_number 1
_symmetry_space_group_name_Hall 'P 1'
_cell_length_a 4.5191
_cell_length_b 4.5191
_cell_length_c 4.5191
_cell_angle_alpha 90.00
_cell_angle_beta 90.00
_cell_angle_gamma 90.00
loop_
_atom_site_label
_atom_site_fract_x
_atom_site_fract_y
_atom_site_fract_z
V1 0.5000 0.0000 0.0000
V2 0.0000 0.5000 0.0000
V3 0.0000 0.0000 0.5000
Tc1 0.0000 0.0000 0.0000
Mn1 0.5000 0.5000 0.5000
```



Entry from Alexandria: a geometry-optimized MnV6Tc structure (GGA-PBE).

* N(E_F): 1.347 states/eV per atom
* crystal system: orthorhombic
* offset from the most stable computed form: 0 meV/atom
* VASP energy: -75.789 eV/cell
* calculated formation energy: -1.5 eV/f.u.
* space group: No. 65

Geometry as CIF:
```
data_MnV6Tc
_symmetry_space_group_name_H-M 'P 1'
_symmetry_Int_Tables_number 1
_symmetry_space_group_name_Hall 'P 1'
_cell_length_a 4.1715
_cell_length_b 5.1668
_cell_length_c 5.1668
_cell_angle_alpha 109.87
_cell_angle_beta 90.00
_cell_angle_gamma 90.00
loop_
_atom_site_label
_atom_site_fract_x
_atom_site_fract_y
_atom_site_fract_z
Mn1 0.5000 0.0000 0.0000
Tc1 0.5000 0.5000 0.5000
V1 0.0000 0.2443 0.2443
V2 0.5000 0.0000 0.5000
V3 0.5000 0.5000 0.0000
V4 0.0000 0.7557 0.7557
V5 0.0000 0.7525 0.2475
V6 0.0000 0.2475 0.7525
```



Entry from Alexandria: a geometry-optimized MnV4Tc structure (GGA-PBE).

* N(E_F): 1.094 states/eV per atom
* crystal system: monoclinic
* VASP energy: -53.465 eV/cell
* calculated formation energy: 2.5 eV/f.u.
* space group: No. 12

Geometry as CIF:
```
data_MnV4Tc
_symmetry_space_group_name_H-M 'P 1'
_symmetry_Int_Tables_number 1
_symmetry_space_group_name_Hall 'P 1'
_cell_length_a 3.8936
_cell_length_b 4.1778
_cell_length_c 6.8776
_cell_angle_alpha 70.44
_cell_angle_beta 73.56
_cell_angle_gamma 62.23
loop_
_atom_site_label
_atom_site_fract_x
_atom_site_fract_y
_atom_site_fract_z
V1 0.1262 0.1041 0.6435
V2 0.8738 0.8959 0.3565
V3 0.3712 0.3650 0.8925
V4 0.6288 0.6350 0.1075
Mn1 0.0000 0.0000 0.0000
Tc1 0.5000 0.5000 0.5000
```



Entry from Alexandria: a geometry-optimized MnVTc2 structure (GGA-PBE).

* N(E_F): 1.431 states/eV per atom
* crystal system: trigonal
* VASP energy: -37.462 eV/cell
* calculated formation energy: 1.6 eV/f.u.
* space group: No. 166

Geometry as CIF:
```
data_MnVTc2
_symmetry_space_group_name_H-M 'P 1'
_symmetry_Int_Tables_number 1
_symmetry_space_group_name_Hall 'P 1'
_cell_length_a 2.6743
_cell_length_b 2.6743
_cell_length_c 9.1809
_cell_angle_alpha 81.63
_cell_angle_beta 81.63
_cell_angle_gamma 60.00
loop_
_atom_site_label
_atom_site_fract_x
_atom_site_fract_y
_atom_site_fract_z
Mn1 0.5000 0.5000 0.5000
V1 0.0000 0.0000 0.0000
Tc1 0.9095 0.9095 0.2715
Tc2 0.0905 0.0905 0.7285
```



Entry from Alexandria: a geometry-optimized MnV6Tc2 structure (GGA-PBE).

* N(E_F): 1.256 states/eV per atom
* crystal system: monoclinic
* VASP energy: -80.593 eV/cell
* calculated formation energy: 4.0 eV/f.u.
* space group: No. 12

Geometry as CIF:
```
data_MnV6Tc2
_symmetry_space_group_name_H-M 'P 1'
_symmetry_Int_Tables_number 1
_symmetry_space_group_name_Hall 'P 1'
_cell_length_a 4.1797
_cell_length_b 5.7930
_cell_length_c 6.8576
_cell_angle_alpha 114.98
_cell_angle_beta 107.84
_cell_angle_gamma 90.00
loop_
_atom_site_label
_atom_site_fract_x
_atom_site_fract_y
_atom_site_fract_z
Tc1 0.3335 0.3339 0.6679
Tc2 0.6665 0.6661 0.3321
V1 0.1607 0.4039 0.3207
V2 0.8393 0.5961 0.6793
V3 0.1607 0.9168 0.3207
V4 0.5000 0.7658 0.0000
V5 0.5000 0.2342 0.0000
V6 0.8393 0.0832 0.6793
Mn1 0.0000 0.0000 0.0000
```